Entry i
Computed, not measured: an optimized crystal structure of PRh2F at the PBE level of DFT.

extended XYZ file:
```
8
Lattice="-4.0296 2.5690 3.8672 3.2739 -2.0583 4.7788 1.2379 2.8038 4.3137" Properties=species:S:1:pos:R:3 pbc="T T T"
P 0.0000 0.0000 0.0000
P -1.5848 2.8140 6.2520
Rh -1.8946 2.1097 4.1838
Rh 1.9468 -0.3248 4.4576
Rh 0.5680 2.3427 6.3651
Rh 0.3443 2.5012 10.9130
F -0.3778 0.2553 4.3230
F 2.0670 0.5004 6.7078
```

Results
* SG: I-42d, No. 122

Entry ii
Computed, not measured: an optimized crystal structure of PRh2F at the PBE level of DFT.

extended XYZ file:
```
4
Lattice="0.5648 -3.2747 2.3854 1.8228 0.4103 3.6390 -2.1763 -0.4264 3.4373" Properties=species:S:1:pos:R:3 pbc="T T T"
P 0.1057 -1.6454 4.7309
Rh 0.0528 -0.8227 2.3654
Rh 0.1585 -2.4681 7.0963
F 0.0000 0.0000 0.0000
```

Results
* SG: Fm-3m, No. 225

Here is how they stack up, most stable first: entry ii, entry i.

Entry i
Computed, not measured: an optimized crystal structure of PRhS2F at the PBE level of DFT.

extended XYZ file:
```
5
Lattice="4.7272 0.0000 0.0000 0.0000 4.7272 0.0000 0.0000 0.0000 4.4961" Properties=species:S:1:pos:R:3 pbc="T T T"
P 0.0000 0.0000 2.2480
S 0.0000 2.3636 0.0000
S 2.3636 0.0000 0.0000
Rh 0.0000 0.0000 0.0000
F 2.3636 2.3636 2.2480
```

Results
* SG: P4/mmm, No. 123

Entry ii
Computed, not measured: an optimized crystal structure of PRhS2F at the PBE level of DFT.

extended XYZ file:
```
5
Lattice="-2.8242 0.9493 3.5902 1.4973 -3.8364 2.1923 2.7040 1.9727 1.6054" Properties=species:S:1:pos:R:3 pbc="T T T"
P 1.3520 0.9864 0.8027
S 0.7487 -1.9182 1.0961
S -1.4121 0.4747 1.7951
Rh 0.6886 -0.4572 3.6939
F 0.0000 0.0000 0.0000
```

Results
* SG: P4/mmm, No. 123

Here is how they stack up, most stable first: entry i, entry ii.

Entry i
Computed, not measured: an optimized crystal structure of P2RhSF at the PBE level of DFT.

extended XYZ file:
```
5
Lattice="-0.0929 1.5961 3.6971 -3.6420 -1.6110 0.6040 2.0572 -3.9862 1.7726" Properties=species:S:1:pos:R:3 pbc="T T T"
P -1.8210 -0.8055 0.3020
P -0.0464 0.7981 1.8485
S 1.0286 -1.9931 0.8863
Rh -0.8388 -2.0006 3.0368
F 0.0000 0.0000 0.0000
```

Results
* SG: P4/mmm, No. 123

Entry ii
Computed, not measured: an optimized crystal structure of P2RhSF at the PBE level of DFT.

extended XYZ file:
```
5
Lattice="-3.0151 -0.0958 -3.3830 -2.8415 -2.3896 2.6001 -1.9498 4.0836 1.6221" Properties=species:S:1:pos:R:3 pbc="T T T"
P -1.4207 -1.1948 1.3001
P -1.5076 -0.0479 -1.6915
S -0.9749 2.0418 0.8111
Rh 0.0000 0.0000 0.0000
F -3.9032 0.7991 0.4196
```

Results
* SG: P4/mmm, No. 123

Here is how they stack up, most stable first: entry ii, entry i.

Entry i
Computed, not measured: an optimized crystal structure of P3RuF at the PBE level of DFT.

extended XYZ file:
```
5
Lattice="-0.3378 3.0471 -2.8680 -4.1798 -0.1082 0.3773 0.2000 2.8858 3.0425" Properties=species:S:1:pos:R:3 pbc="T T T"
Ru -2.1588 2.9124 0.2759
F 0.0000 0.0000 0.0000
P -2.0899 -0.0541 0.1887
P 0.1000 1.4429 1.5212
P -0.1689 1.5236 -1.4340
```

Results
* SG: Pm-3m, No. 221

Entry ii
Computed, not measured: an optimized crystal structure of P3RuF at the PBE level of DFT.

extended XYZ file:
```
5
Lattice="4.5636 0.0000 0.0000 0.0000 4.5636 0.0000 0.0000 0.0000 4.5636" Properties=species:S:1:pos:R:3 pbc="T T T"
Ru 0.0000 0.0000 0.0000
F 2.2818 2.2818 2.2818
P 0.0000 2.2818 0.0000
P 0.0000 0.0000 2.2818
P 2.2818 0.0000 0.0000
```

Results
* SG: Pm-3m, No. 221

Here is how they stack up, most stable first: entry ii, entry i.

Entry i
Computed, not measured: an optimized crystal structure of PRuF2 at the PBE level of DFT.

extended XYZ file:
```
8
Lattice="3.4936 0.0000 0.0000 0.0000 3.4936 0.0000 1.7468 1.7468 7.8577" Properties=species:S:1:pos:R:3 pbc="T T T"
Ru 0.0000 0.0000 0.0000
Ru 3.4936 1.7468 3.9288
F 2.6378 0.8734 1.9644
F 0.8558 2.6202 1.9644
F 2.6202 2.6026 5.8933
F 4.3670 4.3846 5.8933
P 1.7468 1.7468 0.0000
P 1.7468 3.4936 3.9288
```

Results
* SG: I-42d, No. 122

Entry ii
Computed, not measured: an optimized crystal structure of PRuF2 at the PBE level of DFT.

extended XYZ file:
```
4
Lattice="-1.4049 -3.8665 0.5694 -3.3821 -0.6602 2.3181 -3.5451 -1.2068 -1.7956" Properties=species:S:1:pos:R:3 pbc="T T T"
Ru -4.1660 -2.8668 0.5459
F -2.0830 -1.4334 0.2730
F -6.2491 -4.3001 0.8189
P 0.0000 0.0000 0.0000
```

Results
* SG: Fm-3m, No. 225

Entry iii
Computed, not measured: an optimized crystal structure of PRuF2 at the PBE level of DFT.

extended XYZ file:
```
4
Lattice="1.5122 0.0000 9.6103 -0.7561 1.3096 9.6103 -0.7561 -1.3096 9.6103" Properties=species:S:1:pos:R:3 pbc="T T T"
Ru 0.0000 0.0000 14.4154
F 0.0000 0.0000 27.1749
F 0.0000 0.0000 1.6560
P 0.0000 0.0000 0.0000
```

Results
* SG: R-3m, No. 166

Here is how they stack up, most stable first: entry iii, entry i, entry ii.

Entry i
Computed, not measured: an optimized crystal structure of P2RuSF at the PBE level of DFT.

extended XYZ file:
```
5
Lattice="4.5560 0.0000 0.0000 0.0000 4.5560 0.0000 0.0000 0.0000 4.6123" Properties=species:S:1:pos:R:3 pbc="T T T"
Ru 0.0000 0.0000 0.0000
S 0.0000 0.0000 2.3062
F 2.2780 2.2780 2.3062
P 0.0000 2.2780 0.0000
P 2.2780 0.0000 0.0000
```

Results
* SG: P4/mmm, No. 123

Entry ii
Computed, not measured: an optimized crystal structure of P2RuSF at the PBE level of DFT.

extended XYZ file:
```
5
Lattice="-2.0559 2.7518 -2.1311 -2.8312 -2.7618 -0.8349 -2.3197 1.2238 3.8182" Properties=species:S:1:pos:R:3 pbc="T T T"
Ru -3.6034 0.6069 0.4261
S -1.1599 0.6119 1.9091
F 0.0000 0.0000 0.0000
P -1.4156 -1.3809 -0.4174
P -1.0279 1.3759 -1.0655
```

Results
* SG: P4/mmm, No. 123

Here is how they stack up, most stable first: entry i, entry ii.